# PrZnIn, relaxed, DFT PBE
# **Total energy**: -3.350 eV/atom
# **ΔH_f (0 K)**: -0.4195 eV per atom
# **DOS at the Fermi energy**: 5.47 states/eV per cell
data_PrZnIn
_chemical_formula_sum 'Pr4 Zn4 In4'
_symmetry_space_group_name_H-M 'F -4 3 m'
_symmetry_Int_Tables_number 216
_symmetry_space_group_name_Hall 'F -4 2 3'
_cell_length_a 6.813
_cell_length_b 6.813
_cell_length_c 6.813
_cell_angle_alpha 90.00
_cell_angle_beta 90.00
_cell_angle_gamma 90.00
loop_
_atom_site_label
_atom_site_type_symbol
_atom_site_fract_x
_atom_site_fract_y
_atom_site_fract_z
Pr1 Pr 0.000 0.000 0.000
Zn1 Zn 0.250 0.250 0.750
In1 In 0.000 0.000 0.500

---

# YEr5Cd4, relaxed, DFT PBE
# **Total energy**: -3.532 eV/atom
# **ΔH_f (0 K)**: -0.2385 eV per atom
# **DOS at the Fermi energy**: 12.70 states/eV per cell
data_YEr5Cd4
_chemical_formula_sum 'Y1 Er5 Cd4'
_symmetry_space_group_name_H-M 'P 4/m m m'
_symmetry_Int_Tables_number 123
_symmetry_space_group_name_Hall '-P 4 2'
_cell_length_a 3.659
_cell_length_b 3.659
_cell_length_c 20.163
_cell_angle_alpha 90.00
_cell_angle_beta 90.00
_cell_angle_gamma 90.00
loop_
_atom_site_label
_atom_site_type_symbol
_atom_site_fract_x
_atom_site_fract_y
_atom_site_fract_z
Y1 Y 0.000 0.000 0.000
Er1 Er 0.500 0.500 0.122
Er2 Er 0.500 0.500 0.312
Er3 Er 0.500 0.500 0.500
Cd1 Cd 0.000 0.000 0.217
Cd2 Cd 0.000 0.000 0.405